(1)
A relaxed structure of Y3Tl4InS8, computed with PBE.

Properties
Its crystal system is trigonal. Its formation energy (no corrections) is -119 kJ/mol of atoms. For the density of states at the Fermi level, the calculation gives 0.134 states/eV per cell. As for the symmetry: R-3m (166).

a b c (Å): 8.8325 8.8325 8.8325
angles (deg): 53.99 53.99 53.99
Closest atoms and distances in Å follow each position.
Atoms (fractional coordinates):
Y 0.0000 0.5000 0.5000  6 S 2.75-2.77
Y 0.5000 0.0000 0.5000  6 S 2.75-2.77
Y 0.5000 0.5000 0.0000  6 S 2.75-2.77
Tl 0.0000 0.0000 0.5000  6 S 3.23-3.24
Tl 0.0000 0.5000 0.0000  6 S 3.23-3.24
Tl 0.5000 0.0000 0.0000  6 S 3.23-3.24
Tl 0.5000 0.5000 0.5000  6 S 3.28
In 0.0000 0.0000 0.0000  6 S 2.71
S 0.2294 0.2294 0.7385  1 In 2.71, 2 Y 2.77
S 0.2294 0.7385 0.2294  1 In 2.71, 2 Y 2.77
S 0.2615 0.7706 0.7706  1 In 2.71, 2 Y 2.77
S 0.2672 0.2672 0.2672  3 Y 2.75
S 0.7328 0.7328 0.7328  3 Y 2.75
S 0.7385 0.2294 0.2294  1 In 2.71, 2 Y 2.77
S 0.7706 0.2615 0.7706  1 In 2.71, 2 Y 2.77
S 0.7706 0.7706 0.2615  1 In 2.71, 2 Y 2.77

=====

(2)
A relaxed structure of TmIn6S8, computed with PBE.

Properties
Its crystal system is trigonal. Its formation energy (no corrections) is -48 kJ/mol of atoms. For the density of states at the Fermi level, the calculation gives 9.014 states/eV per cell. As for the symmetry: R-3 (148).

a b c (Å): 7.1514 7.1514 7.1514
angles (deg): 95.02 95.02 95.02
Closest atoms and distances in Å follow each position.
Atoms (fractional coordinates):
Tm 0.0000 0.0000 0.0000  8 S 2.87-2.94
In 0.2241 0.6197 0.3387  3 S 2.55-2.65
In 0.3387 0.2241 0.6197  3 S 2.55-2.65
In 0.3803 0.6613 0.7759  3 S 2.55-2.65
In 0.6197 0.3387 0.2241  3 S 2.55-2.65
In 0.6613 0.7759 0.3803  3 S 2.55-2.65
In 0.7759 0.3803 0.6613  3 S 2.55-2.65
S 0.0989 0.3532 0.8338  2 In 2.55-2.57
S 0.1662 0.9011 0.6468  2 In 2.55-2.57
S 0.2553 0.2553 0.2553  3 In 2.65, 1 Tm 2.87
S 0.3532 0.8338 0.0989  2 In 2.55-2.57
S 0.6468 0.1662 0.9011  2 In 2.55-2.57
S 0.7447 0.7447 0.7447  3 In 2.65, 1 Tm 2.87
S 0.8338 0.0989 0.3532  2 In 2.55-2.57
S 0.9011 0.6468 0.1662  2 In 2.55-2.57

=====

(3)
A relaxed structure of Tm2InS4, computed with PBE.

Properties
Its crystal system is monoclinic. Its formation energy (no corrections) is -152 kJ/mol of atoms. For the density of states at the Fermi level, the calculation gives 4.886 states/eV per cell. As for the symmetry: C2/c (15).

a b c (Å): 7.9893 7.9893 7.9880
angles (deg): 119.96 119.96 90.05
Closest atoms and distances in Å follow each position.
Atoms (fractional coordinates):
Tm 0.0000 0.0000 0.0000  6 S 2.71
Tm 0.0000 0.0000 0.5000  6 S 2.71
Tm 0.0000 0.5000 0.0000  6 S 2.71-2.72
Tm 0.5000 0.0000 0.5000  6 S 2.71-2.72
In 0.3753 0.6247 0.7500  4 S 2.65
In 0.6247 0.3753 0.2500  4 S 2.65
S 0.2186 0.2398 0.9789  1 In 2.65, 3 Tm 2.71
S 0.2393 0.7599 0.4791  1 In 2.65, 3 Tm 2.71-2.72
S 0.2398 0.2186 0.4789  1 In 2.65, 3 Tm 2.71
S 0.2401 0.7607 0.0209  1 In 2.65, 3 Tm 2.71-2.72
S 0.7599 0.2393 0.9791  1 In 2.65, 3 Tm 2.71-2.72
S 0.7602 0.7814 0.5211  1 In 2.65, 3 Tm 2.71
S 0.7607 0.2401 0.5209  1 In 2.65, 3 Tm 2.71-2.72
S 0.7814 0.7602 0.0211  1 In 2.65, 3 Tm 2.71

=====

(4)
A relaxed structure of Tm3InS, computed with PBE.

Properties
Its crystal system is cubic. Its formation energy (no corrections) is -80 kJ/mol of atoms. For the density of states at the Fermi level, the calculation gives 3.428 states/eV per cell. As for the symmetry: Pm-3m (221). The calculation puts the energy above the most stable polymorph in this dataset at 163 meV per atom.

a b c (Å): 5.0730 5.0730 5.0730
angles (deg): 90.00 90.00 90.00
Closest atoms and distances in Å follow each position.
Atoms (fractional coordinates):
Tm 0.0000 0.0000 0.5000  2 S 2.54
Tm 0.0000 0.5000 0.0000  2 S 2.54
Tm 0.5000 0.0000 0.0000  2 S 2.54
In 0.5000 0.5000 0.5000  12 Tm 3.59
S 0.0000 0.0000 0.0000  6 Tm 2.54